# MgTcP2

MgTcP2 after structural relaxation (GGA-PBE, Alexandria via LeMat-Bulk).

Cell lengths 2.979, 2.979, 7.674 Å; angles 90.00, 90.00, 113.85 degrees
Fractional coordinates of all 4 atoms:
1 Mg 0.500 0.500 0.750
2 P 0.000 0.000 0.018
3 P 0.000 0.000 0.482
4 Tc 0.500 0.500 0.250

ΔH_f (0 K) = 78.1 meV/atom

***

# Pm6InGa2

Pm6InGa2 after structural relaxation (GGA-PBE, Alexandria via LeMat-Bulk).

Cell lengths 8.888, 8.888, 8.888 Å; angles 104.86, 111.55, 112.11 degrees
Fractional coordinates of all 18 atoms:
1 Pm 0.537 0.720 0.817
2 Pm 0.463 0.280 0.183
3 Pm 0.097 0.280 0.817
4 Pm 0.903 0.720 0.183
5 Pm 0.798 0.761 0.558
6 Pm 0.202 0.239 0.442
7 Pm 0.202 0.761 0.963
8 Pm 0.798 0.239 0.037
9 Pm 0.706 0.384 0.678
10 Pm 0.294 0.616 0.322
11 Pm 0.294 0.972 0.678
12 Pm 0.706 0.028 0.322
13 In 0.000 0.500 0.500
14 In 0.000 0.000 0.000
15 Ga 0.500 0.380 0.880
16 Ga 0.500 0.620 0.120
17 Ga 0.644 0.000 0.644
18 Ga 0.356 0.000 0.356

ΔH_f (0 K) = -390.2 meV/atom

***

# Zr2Tc

Zr2Tc after structural relaxation (GGA-PBE, Alexandria via LeMat-Bulk).

Cell lengths 4.575, 4.575, 3.229 Å; angles 90.00, 90.00, 120.00 degrees
Fractional coordinates of all 3 atoms:
1 Tc 0.000 0.000 0.000
2 Zr 0.333 0.667 0.291
3 Zr 0.667 0.333 0.709

ΔE to the lowest computed polymorph = 80 meV per atom
ΔH_f (0 K) = -195.6 meV/atom

***

# HoGa4Pd2Rh

HoGa4Pd2Rh after structural relaxation (GGA-PBE, Alexandria via LeMat-Bulk).

Cell lengths 4.279, 4.279, 8.942 Å; angles 76.16, 76.16, 60.00 degrees
Fractional coordinates of all 8 atoms:
1 Ho 0.000 0.000 0.000
2 Ga 0.398 0.398 0.807
3 Ga 0.868 0.868 0.397
4 Ga 0.132 0.132 0.603
5 Ga 0.602 0.602 0.193
6 Pd 0.761 0.761 0.717
7 Pd 0.239 0.239 0.283
8 Rh 0.500 0.500 0.500

ΔH_f (0 K) = -649.0 meV/atom

***

# KSb2Os

KSb2Os after structural relaxation (GGA-PBE, Alexandria via LeMat-Bulk).

Cell lengths 4.149, 4.675, 4.675 Å; angles 90.00, 90.00, 90.00 degrees
Fractional coordinates of all 4 atoms:
1 K 0.500 0.500 0.000
2 Os 0.500 0.000 0.500
3 Sb 0.000 0.000 0.000
4 Sb 0.000 0.500 0.500

ΔE to the lowest computed polymorph = 826 meV per atom
Energy relative to the elements, uncorrected = 3.48 eV/f.u.

***

# LiMg4SnO8

LiMg4SnO8 after structural relaxation (GGA-PBE, Alexandria via LeMat-Bulk).

Cell lengths 6.053, 6.053, 10.060 Å; angles 90.00, 90.00, 120.00 degrees
Fractional coordinates of all 28 atoms:
1 Li 0.000 0.000 0.821
2 Li 0.000 0.000 0.321
3 Mg 0.830 0.660 0.603
4 Mg 0.830 0.170 0.603
5 Mg 0.170 0.340 0.103
6 Mg 0.340 0.170 0.603
7 Mg 0.170 0.830 0.103
8 Mg 0.660 0.830 0.103
9 Mg 0.667 0.333 0.909
10 Mg 0.333 0.667 0.409
11 Sn 0.667 0.333 0.327
12 Sn 0.333 0.667 0.827
13 O 0.485 0.970 0.968
14 O 0.485 0.515 0.968
15 O 0.515 0.030 0.468
16 O 0.030 0.515 0.968
17 O 0.515 0.485 0.468
18 O 0.970 0.485 0.468
19 O 0.667 0.333 0.713
20 O 0.333 0.667 0.213
21 O 0.164 0.327 0.720
22 O 0.164 0.836 0.720
23 O 0.836 0.673 0.220
24 O 0.673 0.836 0.720
25 O 0.836 0.164 0.220
26 O 0.327 0.164 0.220
27 O 0.000 0.000 0.005
28 O 0.000 0.000 0.505

Energy relative to the elements, uncorrected = -26.27 eV/f.u.

***

# Mg2TiTe

Mg2TiTe after structural relaxation (GGA-PBE, Alexandria via LeMat-Bulk).

Cell lengths 8.195, 8.195, 6.440 Å; angles 50.49, 50.49, 90.00 degrees
Fractional coordinates of all 8 atoms:
1 Mg 0.641 0.125 0.250
2 Mg 0.109 0.625 0.250
3 Mg 0.375 0.359 0.750
4 Mg 0.875 0.891 0.750
5 Te 0.000 0.000 0.000
6 Te 0.750 0.250 0.500
7 Ti 0.500 0.500 0.000
8 Ti 0.250 0.750 0.500

Energy relative to the elements, uncorrected = 0.54 eV/f.u.

***

# TcAs2Ir

TcAs2Ir after structural relaxation (GGA-PBE, Alexandria via LeMat-Bulk).

Cell lengths 4.484, 4.484, 4.881 Å; angles 76.90, 76.90, 43.25 degrees
Fractional coordinates of all 4 atoms:
1 As 0.985 0.985 0.138
2 As 0.752 0.752 0.716
3 Ir 0.489 0.489 0.530
4 Tc 0.273 0.273 0.115

ΔE to the lowest computed polymorph = 0 meV per atom
ΔH_f (0 K) = -38.6 meV/atom

***

# H4SeCl

H4SeCl after structural relaxation (GGA-PBE, Alexandria via LeMat-Bulk).

Cell lengths 4.765, 5.868, 5.926 Å; angles 90.00, 90.00, 84.11 degrees
Fractional coordinates of all 12 atoms:
1 H 0.238 0.476 0.249
2 H 0.187 0.337 0.605
3 H 0.762 0.024 0.249
4 H 0.813 0.663 0.395
5 H 0.813 0.163 0.605
6 H 0.238 0.976 0.751
7 H 0.187 0.837 0.395
8 H 0.762 0.524 0.751
9 Se 0.000 0.250 0.780
10 Se 0.000 0.750 0.220
11 Cl 0.500 0.250 0.257
12 Cl 0.500 0.750 0.743

Energy = -35.64 eV for the cell shown

***

# VHRh

VHRh after structural relaxation (GGA-PBE, Alexandria via LeMat-Bulk).

Cell lengths 2.759, 2.759, 4.590 Å; angles 107.49, 107.49, 90.00 degrees
Fractional coordinates of all 3 atoms:
1 H 0.538 0.538 0.075
2 Rh 0.296 0.296 0.592
3 V 0.017 0.017 0.033

ΔE to the lowest computed polymorph = 241 meV per atom